A relaxed Ca3PmPa2N6 crystal. Source: the Alexandria database, functional PBE.

Structure (POSCAR):
```
Ca3PmPa2N6
1.0
-1.348 0.902 -3.194
-4.780 -5.190 0.552
-2.949 5.491 4.805
Ca Pm Pa N
3 1 2 6
direct
0.500 0.500 0.000 Ca
0.834 0.167 0.668 Ca
0.166 0.833 0.332 Ca
0.500 0.000 0.000 Pm
0.835 0.671 0.670 Pa
0.165 0.329 0.330 Pa
0.333 0.887 0.666 N
0.677 0.560 0.353 N
0.667 0.113 0.334 N
0.015 0.255 0.030 N
0.985 0.745 0.970 N
0.323 0.440 0.647 N
```

Output
Volume in Å³/cell: 189.69
Uncorrected formation energy in kJ/mol of atoms: -139.3
Density in g/cm³: 7.1
Symmetry: C2/m (12)